1.
Computed, not measured: a relaxed structure of AlIrRuBr2 at the GGA-PBE level of DFT.

D(E_F): 6.35 states/eV/cell
Symmetry: P4/mmm
Total magnetic moment: 2.9 μB/f.u.
Energy: -3.558 eV per atom
Energy relative to the elements, uncorrected: 1.487 eV/atom
Crystal system: tetragonal

Lattice parameters (Å, degrees): 4.766 4.908 4.766 90.00 90.00 90.00
Site moments in Bohr magnetons follow the coordinates.
Element x y z (fractional)
Ru: 0.000 0.500 0.000  1.29
Ir: 0.500 0.500 0.500  1.39
Al: 0.000 0.000 0.000  -0.02
Br: 0.000 0.000 0.500  0.04
Br: 0.500 0.000 0.000  0.05


2.
Computed, not measured: a relaxed structure of AlIrSeBr2 at the GGA-PBE level of DFT.

D(E_F): 2.97 states/eV/cell
Symmetry: P4/mmm
Total magnetic moment: 0.0 μB/f.u.
Energy: -3.635 eV per atom
Energy above the lowest structure with this stoichiometry: 0 meV/atom
Energy relative to the elements, uncorrected: 0.252 eV/atom
Crystal system: tetragonal

Lattice parameters (Å, degrees): 5.357 5.357 4.691 90.00 90.00 90.00
Element x y z (fractional)
Ir: 0.000 0.000 0.000
Se: 0.000 0.000 0.500
Br: 0.000 0.500 0.000
Br: 0.500 0.000 0.000
Al: 0.500 0.500 0.500


3.
Computed, not measured: a relaxed structure of AlIrSeBr2 at the GGA-PBE level of DFT.

D(E_F): 6.27 states/eV/cell
Symmetry: P4/mmm
Total magnetic moment: 2.5 μB/f.u.
Energy: -3.131 eV per atom
Energy above the lowest structure with this stoichiometry: 504 meV/atom
Energy relative to the elements, uncorrected: 0.756 eV/atom
Crystal system: tetragonal

Lattice parameters (Å, degrees): 4.846 4.846 5.130 90.00 90.00 90.00
Site moments in Bohr magnetons follow the coordinates.
Element x y z (fractional)
Ir: 0.500 0.500 0.500  1.98
Se: 0.000 0.000 0.500  0.10
Br: 0.000 0.500 0.000  0.08
Br: 0.500 0.000 0.000  0.08
Al: 0.000 0.000 0.000  0.00


4.
Computed, not measured: a relaxed structure of YAlIrBr2 at the GGA-PBE level of DFT.

D(E_F): 4.45 states/eV/cell
Symmetry: P4/mmm
Total magnetic moment: 0.2 μB/f.u.
Energy: -4.346 eV per atom
Energy relative to the elements, uncorrected: 0.137 eV/atom
Crystal system: tetragonal

Lattice parameters (Å, degrees): 5.197 4.748 5.197 90.00 90.00 90.00
Site moments in Bohr magnetons follow the coordinates.
Element x y z (fractional)
Y: 0.500 0.500 0.500  0.09
Ir: 0.000 0.000 0.000  0.00
Al: 0.000 0.500 0.000  0.00
Br: 0.000 0.000 0.500  0.00
Br: 0.500 0.000 0.000  0.00


5.
Computed, not measured: a relaxed structure of AlZn2IrBr at the GGA-PBE level of DFT.

D(E_F): 4.73 states/eV/cell
Symmetry: P4/mmm
Total magnetic moment: 0.6 μB/f.u.
Energy: -2.677 eV per atom
Energy relative to the elements, uncorrected: 0.688 eV/atom
Crystal system: tetragonal

Lattice parameters (Å, degrees): 4.920 4.920 4.638 90.00 90.00 90.00
Site moments in Bohr magnetons follow the coordinates.
Element x y z (fractional)
Zn: 0.000 0.500 0.000  0.01
Zn: 0.500 0.000 0.000  0.01
Ir: 0.000 0.000 0.500  0.44
Al: 0.000 0.000 0.000  0.00
Br: 0.500 0.500 0.500  0.07


6.
Computed, not measured: a relaxed structure of ZrAlIrBr2 at the GGA-PBE level of DFT.

D(E_F): 5.68 states/eV/cell
Symmetry: P4/mmm
Total magnetic moment: 0.0 μB/f.u.
Energy: -4.351 eV per atom
Energy relative to the elements, uncorrected: 0.548 eV/atom
Crystal system: tetragonal

Lattice parameters (Å, degrees): 5.059 5.190 5.059 90.00 90.00 90.00
Element x y z (fractional)
Ir: 0.000 0.000 0.000
Br: 0.000 0.000 0.500
Br: 0.500 0.000 0.000
Zr: 0.000 0.500 0.000
Al: 0.500 0.500 0.500


7.
Computed, not measured: a relaxed structure of KAlBr2 at the GGA-PBE level of DFT.

D(E_F): 0.00 states/eV/cell
Symmetry: F-43m
Total magnetic moment: 0.0 μB/f.u.
Energy: -2.529 eV per atom
Energy above the lowest structure with this stoichiometry: 472 meV/atom
Energy relative to the elements, uncorrected: -0.482 eV/atom
Crystal system: cubic

Lattice parameters (Å, degrees): 5.627 5.627 5.627 60.00 60.00 60.00
Element x y z (fractional)
K: 0.750 0.750 0.750
Al: 0.500 0.500 0.500
Br: 0.000 0.000 0.000
Br: 0.250 0.250 0.250


8.
Computed, not measured: a relaxed structure of KAlBr2 at the GGA-PBE level of DFT.

D(E_F): 0.00 states/eV/cell
Symmetry: R-3m
Total magnetic moment: 0.0 μB/f.u.
Energy: -2.682 eV per atom
Energy above the lowest structure with this stoichiometry: 319 meV/atom
Energy relative to the elements, uncorrected: -0.636 eV/atom
Crystal system: trigonal

Lattice parameters (Å, degrees): 9.574 9.574 9.574 29.49 29.49 29.49
Element x y z (fractional)
K: 0.000 0.000 0.000
Al: 0.500 0.500 0.500
Br: 0.891 0.891 0.891
Br: 0.109 0.109 0.109


- Number 3 is which compound?
  AlIrSeBr2


- Look up the energy of the seventh one.
  -2.529 eV per atom